(1)
# NdPaTc2

A geometry-optimized NdPaTc2 structure (GGA-PBE, the Alexandria database).

Cell: 4.919 4.919 4.919 Å, 60.00 60.00 60.00°
Sites, in units of the cell vectors:
Pa (0.000, 0.000, 0.000)
Nd (0.500, 0.500, 0.500)
Tc (0.250, 0.250, 0.250)
Tc (0.750, 0.750, 0.750)

**Raw total energy**: -8.69 eV/atom
**Fermi-level density of states**: 2.483 states/eV/f.u.
**Calculated volume**: 84 Å³/f.u.
**E_form**: 59 meV/atom
**M_tot**: 0.000 μB per formula unit
**Polymorph energy (0 for the lowest one)**: 145 meV/atom
**SG**: No. 225

***

(2)
# SmEr2Ag3S6

A geometry-optimized SmEr2Ag3S6 structure (GGA-PBE, the Alexandria database).

Cell: 4.052 9.554 8.016 Å, 105.60 104.64 90.00°
Sites, in units of the cell vectors:
Sm (0.500, 0.000, 0.000)
Er (0.834, 0.663, 0.668)
Er (0.166, 0.337, 0.332)
Ag (0.500, 0.500, 0.000)
Ag (0.826, 0.060, 0.653)
Ag (0.174, 0.940, 0.347)
S (0.314, 0.853, 0.628)
S (0.658, 0.519, 0.315)
S (0.686, 0.147, 0.372)
S (0.990, 0.198, 0.980)
S (0.010, 0.802, 0.020)
S (0.342, 0.481, 0.685)

**Raw total energy**: -5.23 eV/atom
**Fermi-level density of states**: 0.000 states/eV/f.u.
**Calculated volume**: 288 Å³/f.u.
**Formation energy from raw total energies**: -1297 meV/atom
**M_tot**: 0.000 μB per formula unit
**SG**: No. 12

***

(3)
# La7CoAu2

A geometry-optimized La7CoAu2 structure (GGA-PBE, the Alexandria database).

Cell: 8.766 9.604 9.021 Å, 71.63 60.93 62.85°
Sites, in units of the cell vectors:
La (0.705, 0.502, 0.868)
La (0.925, 0.002, 0.368)
La (0.273, 0.908, 0.929)
La (0.357, 0.203, 0.501)
La (0.555, 0.250, 0.750)
La (0.890, 0.408, 0.429)
La (0.061, 0.297, 0.999)
La (0.939, 0.703, 0.001)
La (0.110, 0.592, 0.571)
La (0.445, 0.750, 0.250)
La (0.643, 0.797, 0.499)
La (0.727, 0.092, 0.071)
La (0.075, 0.998, 0.632)
La (0.295, 0.498, 0.132)
Co (0.976, 0.250, 0.750)
Co (0.024, 0.750, 0.250)
Au (0.707, 0.878, 0.783)
Au (0.632, 0.378, 0.283)
Au (0.368, 0.622, 0.717)
Au (0.293, 0.122, 0.217)

**Raw total energy**: -5.13 eV/atom
**Fermi-level density of states**: 12.116 states/eV/f.u.
**Calculated volume**: 293 Å³/f.u.
**E_form**: -319 meV/atom
**M_tot**: 0.000 μB per formula unit
**SG**: No. 15

***

(4)
# Dy4InPd12

A geometry-optimized Dy4InPd12 structure (GGA-PBE, the Alexandria database).

Cell: 7.408 7.408 7.408 Å, 109.47 109.47 109.47°
Sites, in units of the cell vectors:
Dy (0.000, 0.000, 0.500)
Dy (0.500, 0.000, 0.000)
Dy (0.500, 0.500, 0.500)
Dy (0.000, 0.500, 0.000)
In (0.000, 0.000, 0.000)
Pd (0.000, 0.300, 0.300)
Pd (0.000, 0.700, 0.700)
Pd (0.700, 0.700, 0.000)
Pd (0.300, 0.300, 0.000)
Pd (0.300, 0.000, 0.300)
Pd (0.700, 0.000, 0.700)
Pd (0.500, 0.250, 0.750)
Pd (0.500, 0.750, 0.250)
Pd (0.750, 0.250, 0.500)
Pd (0.250, 0.750, 0.500)
Pd (0.750, 0.500, 0.250)
Pd (0.250, 0.500, 0.750)

**Raw total energy**: -5.73 eV/atom
**Fermi-level density of states**: 4.757 states/eV/f.u.
**Calculated volume**: 313 Å³/f.u.
**E_form**: -822 meV/atom
**M_tot**: 0.000 μB per formula unit
**SG**: No. 229

***

(5)
# CsScCuTe2

A geometry-optimized CsScCuTe2 structure (GGA-PBE, the Alexandria database).

Cell: 6.217 8.928 6.757 Å, 112.22 90.00 90.00°
Site moments in Bohr magnetons follow the coordinates.
Sites, in units of the cell vectors:
Cs (0.237, 0.500, 0.750)  0.01
Cs (0.763, 0.500, 0.250)  0.01
Sc (0.500, 0.000, 0.250)  0.55
Sc (0.500, 0.000, 0.750)  0.55
Cu (0.000, 0.000, 0.000)  0.00
Cu (0.000, 0.000, 0.500)  0.00
Te (0.734, 0.777, 0.889)  -0.01
Te (0.734, 0.223, 0.611)  -0.01
Te (0.266, 0.777, 0.389)  -0.01
Te (0.266, 0.223, 0.111)  -0.01

**Raw total energy**: -4.23 eV/atom
**Fermi-level density of states**: 3.062 states/eV/f.u.
**Calculated volume**: 174 Å³/f.u.
**Formation energy from raw total energies**: -721 meV/atom
**M_tot**: 0.967 μB per formula unit
**SG**: No. 67

***

(6)
# ReTePtN2

A geometry-optimized ReTePtN2 structure (GGA-PBE, the Alexandria database).

Cell: 3.780 3.780 7.792 Å, 90.00 90.00 90.00°
Site moments in Bohr magnetons follow the coordinates.
Sites, in units of the cell vectors:
Re (0.500, 0.500, 0.500)  2.13
Te (0.000, 0.000, 0.500)  -0.05
Pt (0.000, 0.000, 0.000)  0.01
N (0.000, 0.500, 0.000)  0.03
N (0.500, 0.000, 0.000)  0.03

**Raw total energy**: -5.87 eV/atom
**Fermi-level density of states**: 5.040 states/eV/f.u.
**Calculated volume**: 111 Å³/f.u.
**Formation energy from raw total energies**: 1790 meV/atom
**M_tot**: 2.655 μB per formula unit
**Polymorph energy (0 for the lowest one)**: 1230 meV/atom
**SG**: No. 123

***

(7)
# HoAsH2Ru

A geometry-optimized HoAsH2Ru structure (GGA-PBE, the Alexandria database).

Cell: 3.958 5.401 6.066 Å, 90.00 90.00 111.49°
Sites, in units of the cell vectors:
Ho (0.712, 0.424, 0.750)
Ho (0.288, 0.576, 0.250)
As (0.427, 0.854, 0.750)
As (0.573, 0.146, 0.250)
H (0.169, 0.338, 0.938)
H (0.831, 0.662, 0.062)
H (0.169, 0.338, 0.562)
H (0.831, 0.662, 0.438)
Ru (0.000, 0.000, 0.000)
Ru (0.000, 0.000, 0.500)

**Raw total energy**: -5.68 eV/atom
**Fermi-level density of states**: 1.716 states/eV/f.u.
**Calculated volume**: 60 Å³/f.u.
**M_tot**: 0.000 μB per formula unit
**SG**: No. 63

***

(8)
# GdTmTh

A geometry-optimized GdTmTh structure (GGA-PBE, the Alexandria database).

Cell: 3.562 3.562 8.634 Å, 90.00 90.00 120.00°
Site moments in Bohr magnetons follow the coordinates.
Sites, in units of the cell vectors:
Gd (0.333, 0.667, 0.673)  -7.17
Tm (0.667, 0.333, 0.326)  -0.01
Th (0.000, 0.000, 0.001)  0.05

**Raw total energy**: -8.64 eV/atom
**Fermi-level density of states**: 4.962 states/eV/f.u.
**Calculated volume**: 95 Å³/f.u.
**E_form**: 22 meV/atom
**M_tot**: 7.369 μB per formula unit
**Polymorph energy (0 for the lowest one)**: 0 meV/atom
**SG**: No. 156

***

(9)
# BeRe3Te

A geometry-optimized BeRe3Te structure (GGA-PBE, the Alexandria database).

Cell: 4.274 4.274 4.274 Å, 90.00 90.00 90.00°
Site moments in Bohr magnetons follow the coordinates.
Sites, in units of the cell vectors:
Re (0.000, 0.500, 0.000)  0.65
Re (0.000, 0.000, 0.500)  0.81
Re (0.500, 0.000, 0.000)  0.57
Te (0.500, 0.500, 0.500)  0.01
Be (0.000, 0.000, 0.000)  -0.01

**Raw total energy**: -7.72 eV/atom
**Fermi-level density of states**: 3.888 states/eV/f.u.
**Calculated volume**: 78 Å³/f.u.
**Formation energy from raw total energies**: 1126 meV/atom
**M_tot**: 2.320 μB per formula unit
**Polymorph energy (0 for the lowest one)**: 0 meV/atom
**SG**: No. 221

***

(10)
# Y2SiSn

A geometry-optimized Y2SiSn structure (GGA-PBE, the Alexandria database).

Cell: 5.200 5.200 5.200 Å, 60.00 60.00 60.00°
Sites, in units of the cell vectors:
Y (0.250, 0.250, 0.250)
Y (0.750, 0.750, 0.750)
Si (0.000, 0.000, 0.000)
Sn (0.500, 0.500, 0.500)

**Raw total energy**: -6.03 eV/atom
**Fermi-level density of states**: 4.968 states/eV/f.u.
**Calculated volume**: 99 Å³/f.u.
**Formation energy from raw total energies**: -444 meV/atom
**M_tot**: 0.000 μB per formula unit
**Polymorph energy (0 for the lowest one)**: 320 meV/atom
**SG**: No. 225

***

(11)
# KCdI2Cl

A geometry-optimized KCdI2Cl structure (GGA-PBE, the Alexandria database).

Cell: 4.507 8.653 10.685 Å, 107.56 90.00 90.00°
Sites, in units of the cell vectors:
K (0.250, 0.677, 0.416)
K (0.750, 0.323, 0.584)
Cd (0.250, 0.865, 0.830)
Cd (0.750, 0.135, 0.170)
I (0.750, 0.949, 0.661)
I (0.750, 0.791, 0.999)
I (0.250, 0.051, 0.339)
I (0.250, 0.209, 0.001)
Cl (0.250, 0.568, 0.676)
Cl (0.750, 0.432, 0.324)

**Raw total energy**: -2.49 eV/atom
**Fermi-level density of states**: 0.000 states/eV/f.u.
**Calculated volume**: 199 Å³/f.u.
**Formation energy from raw total energies**: -1097 meV/atom
**M_tot**: 0.000 μB per formula unit
**Polymorph energy (0 for the lowest one)**: 0 meV/atom
**SG**: No. 11